[1]
# V2CrPtN

A relaxed V2CrPtN crystal (PBE, Alexandria).

It has space group P4/mmm (No. 123), with a = 4.4861 Å, b = 4.4861 Å, c = 3.5236 Å, α = 90.00°, β = 90.00° and γ = 90.00°. The distinct sites, in fractional coordinates, are V at (0.0000, 0.5000, 0.0000), Cr at (0.0000, 0.0000, 0.0000), Pt at (0.5000, 0.5000, 0.5000) and N at (0.0000, 0.0000, 0.5000).

The value obtained for the total energy is -38.7 eV/cell. The calculation puts the formation energy from raw total energies at 0.71 eV/atom. The energy above the lowest structure with this stoichiometry is 1.377 eV/atom.


[2]
# Cr2PtWN

A relaxed Cr2PtWN crystal (PBE, Alexandria).

It has space group P4/mmm (No. 123), with a = 3.8976 Å, b = 3.8976 Å, c = 4.0510 Å, α = 90.00°, β = 90.00° and γ = 90.00°. The distinct sites, in fractional coordinates, are Cr at (0.0000, 0.5000, 0.0000), Pt at (0.0000, 0.0000, 0.5000), W at (0.5000, 0.5000, 0.5000) and N at (0.5000, 0.5000, 0.0000).

The value obtained for the total energy is -47.9 eV/cell. The calculation puts the formation energy from raw total energies at -0.27 eV/atom.